A plane-wave DFT calculation with PBE+U was carried out for a relaxed Cs2Pa3FeO12 crystal.

Cell and atoms, written as POSCAR:
```
Cs2Pa3FeO12
1.0
4.0011 2.3100 6.1463
-4.0011 2.3100 6.1463
0.0000 -4.6200 6.1463
Cs Pa Fe O
2 3 1 12
direct
0.1285 0.1285 0.1285
0.8715 0.8715 0.8715
0.0000 0.5000 0.5000
0.5000 0.0000 0.5000
0.5000 0.5000 0.0000
0.5000 0.5000 0.5000
0.1760 0.1760 0.5567
0.1760 0.5567 0.1760
0.2208 0.5538 0.5538
0.4433 0.8240 0.8240
0.4462 0.4462 0.7792
0.4462 0.7792 0.4462
0.5538 0.2208 0.5538
0.5538 0.5538 0.2208
0.5567 0.1760 0.1760
0.7792 0.4462 0.4462
0.8240 0.4433 0.8240
0.8240 0.8240 0.4433
```

Summary:
N(E_F), states/eV/atom: 0.557



A plane-wave DFT calculation with PBE+U was carried out for a relaxed Cs2PaFe2O6 crystal.

Cell and atoms, written as POSCAR:
```
Cs2PaFe2O6
1.0
3.1368 1.8110 6.0354
-3.1368 1.8110 6.0354
0.0000 -3.6220 6.0354
Cs Pa Fe O
2 1 2 6
direct
0.2200 0.2200 0.2200
0.7800 0.7800 0.7800
0.0000 0.0000 0.0000
0.4208 0.4208 0.4208
0.5792 0.5792 0.5792
0.2351 0.2351 0.7434
0.2351 0.7434 0.2351
0.2566 0.7649 0.7649
0.7434 0.2351 0.2351
0.7649 0.2566 0.7649
0.7649 0.7649 0.2566
```



A plane-wave DFT calculation with PBE+U was carried out for a relaxed CsPaFeO4 crystal.

Cell and atoms, written as POSCAR:
```
CsPaFeO4
1.0
-3.6941 3.9358 4.3977
3.6941 -3.9358 4.3977
3.6941 3.9358 -4.3977
Cs Pa Fe O
2 2 2 8
direct
0.4131 0.1631 0.2500
0.5869 0.8369 0.7500
0.0000 0.0000 0.5000
0.0000 0.5000 0.0000
0.0000 0.5000 0.5000
0.5000 0.5000 0.0000
0.1578 0.7339 0.4239
0.1900 0.2661 0.9239
0.2302 0.2828 0.5526
0.2302 0.6777 0.9474
0.7698 0.3223 0.0526
0.7698 0.7172 0.4474
0.8100 0.7339 0.0761
0.8422 0.2661 0.5761
```

Summary:
N(E_F), states/eV/atom: 0.000



A plane-wave DFT calculation with PBE+U was carried out for a relaxed Cs2FePdO4 crystal.

Cell and atoms, written as POSCAR:
```
Cs2FePdO4
1.0
0.0000 6.6577 10.7436
2.7986 0.0000 10.7436
2.7986 6.6577 0.0000
Cs Fe Pd O
4 2 2 8
direct
0.0532 0.0532 0.6968
0.3032 0.3032 0.9468
0.6968 0.6968 0.0532
0.9468 0.9468 0.3032
0.1250 0.1250 0.1250
0.8750 0.8750 0.8750
0.3750 0.3750 0.3750
0.6250 0.6250 0.6250
0.0106 0.2915 0.4307
0.2329 0.5693 0.7085
0.2915 0.0106 0.7671
0.4307 0.7671 0.0106
0.5693 0.2329 0.9894
0.7085 0.9894 0.2329
0.7671 0.4307 0.2915
0.9894 0.7085 0.5693
```

Summary:
N(E_F), states/eV/atom: 0.337



A plane-wave DFT calculation with PBE+U was carried out for a relaxed Cs2Pm2FeO6 crystal.

Cell and atoms, written as POSCAR:
```
Cs2Pm2FeO6
1.0
2.9947 -5.1839 0.0000
2.9947 5.1839 0.0000
-1.7638 0.0000 6.9998
Cs Pm Fe O
2 2 1 6
direct
0.1645 0.8355 0.0000
0.8355 0.1645 0.0000
0.3324 0.6676 0.5000
0.6676 0.3324 0.5000
0.0000 0.0000 0.5000
0.0439 0.3506 0.6570
0.2313 0.2313 0.3507
0.3506 0.0439 0.6570
0.6494 0.9561 0.3430
0.7687 0.7687 0.6493
0.9561 0.6494 0.3430
```

Summary:
N(E_F), states/eV/atom: 0.327



A plane-wave DFT calculation with PBE+U was carried out for a relaxed CsPm2Fe2O6 crystal.

Cell and atoms, written as POSCAR:
```
CsPm2Fe2O6
1.0
6.4412 0.0000 0.0000
3.1663 5.8823 0.0000
2.9760 2.0425 5.6632
Cs Pm Fe O
1 2 2 6
direct
0.0000 0.0000 0.0000
0.3185 0.3118 0.0547
0.6815 0.6882 0.9453
0.3425 0.7009 0.5429
0.6575 0.2991 0.4571
0.0935 0.5660 0.7522
0.3831 0.8957 0.2290
0.4749 0.6516 0.7687
0.5251 0.3484 0.2313
0.6169 0.1043 0.7710
0.9065 0.4340 0.2478
```

Summary:
N(E_F), states/eV/atom: 0.000



A plane-wave DFT calculation with PBE+U was carried out for a relaxed Cs3Pm2FeO6 crystal.

Cell and atoms, written as POSCAR:
```
Cs3Pm2FeO6
1.0
3.0691 -5.2972 0.0000
3.0691 5.2972 0.0000
-2.0340 0.0000 6.8551
Cs Pm Fe O
3 2 1 6
direct
0.0000 0.0000 0.0000
0.3353 0.6647 0.0000
0.6647 0.3353 0.0000
0.1665 0.8335 0.5000
0.8335 0.1665 0.5000
0.5000 0.5000 0.5000
0.1416 0.4455 0.3385
0.2450 0.2450 0.6677
0.4455 0.1416 0.3385
0.5545 0.8584 0.6615
0.7550 0.7550 0.3323
0.8584 0.5545 0.6615
```

Summary:
N(E_F), states/eV/atom: 0.000



A plane-wave DFT calculation with PBE+U was carried out for a relaxed CsPrFeO3 crystal.

Cell and atoms, written as POSCAR:
```
CsPrFeO3
1.0
8.2158 0.0000 0.0000
0.0000 3.8106 0.0000
-3.0710 0.0000 8.7900
Cs Pr Fe O
2 2 2 6
direct
0.1972 0.2500 0.1913
0.8028 0.7500 0.8087
0.3391 0.7500 0.8556
0.6609 0.2500 0.1444
0.0531 0.2500 0.6244
0.9469 0.7500 0.3756
0.1218 0.7500 0.5913
0.1427 0.2500 0.8488
0.4665 0.7500 0.1217
0.5335 0.2500 0.8783
0.8573 0.7500 0.1512
0.8782 0.2500 0.4087
```

Summary:
N(E_F), states/eV/atom: 0.000



A plane-wave DFT calculation with PBE+U was carried out for a relaxed Cs2PrFeO4 crystal.

Cell and atoms, written as POSCAR:
```
Cs2PrFeO4
1.0
-3.1691 3.1691 4.5327
3.1691 -3.1691 4.5327
3.1691 3.1691 -4.5327
Cs Pr Fe O
2 1 1 4
direct
0.0000 0.0000 0.0000
0.7500 0.2500 0.5000
0.5000 0.5000 0.0000
0.2500 0.7500 0.5000
0.2453 0.6398 0.1557
0.3602 0.5159 0.6056
0.4841 0.0896 0.8443
0.9104 0.7547 0.3944
```

Summary:
N(E_F), states/eV/atom: 0.000



A plane-wave DFT calculation with PBE+U was carried out for a relaxed CsPr2Fe2O6 crystal.

Cell and atoms, written as POSCAR:
```
CsPr2Fe2O6
1.0
6.5512 0.0000 0.0000
2.9659 6.0116 0.0000
3.2324 2.0136 5.6207
Cs Pr Fe O
1 2 2 6
direct
0.0000 0.0000 0.0000
0.3173 0.0600 0.3104
0.6827 0.9400 0.6896
0.3390 0.5422 0.6978
0.6610 0.4578 0.3022
0.0970 0.7484 0.5613
0.3760 0.2298 0.8948
0.4664 0.7678 0.6550
0.5336 0.2322 0.3450
0.6240 0.7702 0.1052
0.9030 0.2516 0.4387
```



A plane-wave DFT calculation with PBE+U was carried out for a relaxed CsPuFe2O8 crystal.

Cell and atoms, written as POSCAR:
```
CsPuFe2O8
1.0
5.6762 0.0000 0.0000
-2.8381 4.9158 0.0000
0.0000 0.0000 8.5801
Cs Pu Fe O
1 1 2 8
direct
0.0000 0.0000 0.0000
0.0000 0.0000 0.5000
0.3333 0.6667 0.7029
0.6667 0.3333 0.2971
0.0770 0.3185 0.6367
0.2414 0.9230 0.6367
0.3185 0.2414 0.3633
0.3333 0.6667 0.8983
0.6667 0.3333 0.1017
0.6815 0.7586 0.6367
0.7586 0.0770 0.3633
0.9230 0.6815 0.3633
```

Summary:
N(E_F), states/eV/atom: 0.622



A plane-wave DFT calculation with PBE+U was carried out for a relaxed Cs2PuFeO6 crystal.

Cell and atoms, written as POSCAR:
```
Cs2PuFeO6
1.0
6.6277 0.0000 0.0000
-3.3138 5.7397 0.0000
0.0000 0.0000 5.4825
Cs Pu Fe O
2 1 1 6
direct
0.3333 0.6667 0.2097
0.6667 0.3333 0.7903
0.0000 0.0000 0.5000
0.0000 0.0000 0.0000
0.1325 0.2650 0.7447
0.1325 0.8675 0.7447
0.2650 0.1325 0.2553
0.7350 0.8675 0.7447
0.8675 0.1325 0.2553
0.8675 0.7350 0.2553
```



A plane-wave DFT calculation with PBE+U was carried out for a relaxed CsPuFeO6 crystal.

Cell and atoms, written as POSCAR:
```
CsPuFeO6
1.0
5.2516 0.0000 0.0000
-2.6258 4.5480 0.0000
0.0000 0.0000 6.8447
Cs Pu Fe O
1 1 1 6
direct
0.0000 0.0000 0.0000
0.3333 0.6667 0.5000
0.6667 0.3333 0.5000
0.3818 0.0120 0.6584
0.3818 0.3698 0.3416
0.6302 0.0120 0.3416
0.6302 0.6182 0.6584
0.9880 0.3698 0.6584
0.9880 0.6182 0.3416
```

Summary:
N(E_F), states/eV/atom: 0.240



A plane-wave DFT calculation with PBE+U was carried out for a relaxed Cs2RbFeO4 crystal.

Cell and atoms, written as POSCAR:
```
Cs2RbFeO4
1.0
0.0000 5.8722 12.7732
3.3985 0.0000 12.7732
3.3985 5.8722 0.0000
Cs Rb Fe O
4 2 2 8
direct
0.0700 0.0700 0.6800
0.3200 0.3200 0.9300
0.6800 0.6800 0.0700
0.9300 0.9300 0.3200
0.1250 0.1250 0.1250
0.8750 0.8750 0.8750
0.3750 0.3750 0.3750
0.6250 0.6250 0.6250
0.0896 0.5912 0.4858
0.3334 0.4858 0.5912
0.4088 0.9104 0.6666
0.4858 0.3334 0.0896
0.5142 0.6666 0.9104
0.5912 0.0896 0.3334
0.6666 0.5142 0.4088
0.9104 0.4088 0.5142
```

Summary:
N(E_F), states/eV/atom: 0.058



A plane-wave DFT calculation with PBE+U was carried out for a relaxed CsFeS2O8 crystal.

Cell and atoms, written as POSCAR:
```
CsFeS2O8
1.0
4.9880 0.0000 0.0000
-2.4940 4.3198 0.0000
0.0000 0.0000 8.9692
Cs Fe S O
1 1 2 8
direct
0.0000 0.0000 0.0000
0.0000 0.0000 0.5000
0.3333 0.6667 0.3108
0.6667 0.3333 0.6892
0.0832 0.3600 0.3666
0.2768 0.9168 0.3666
0.3333 0.6667 0.1476
0.3600 0.2768 0.6334
0.6400 0.7232 0.3666
0.6667 0.3333 0.8524
0.7232 0.0832 0.6334
0.9168 0.6400 0.6334
```

Summary:
N(E_F), states/eV/atom: 0.000



A plane-wave DFT calculation with PBE+U was carried out for a relaxed CsFeS2O8 crystal.

Cell and atoms, written as POSCAR:
```
CsFeS2O8
1.0
2.4873 1.4360 8.9369
-2.4873 1.4360 8.9369
0.0000 -2.8721 8.9369
Cs Fe S O
1 1 2 8
direct
0.0000 0.0000 0.0000
0.5000 0.5000 0.5000
0.2296 0.2296 0.2296
0.7704 0.7704 0.7704
0.0942 0.7393 0.5337
0.2607 0.4663 0.9058
0.2842 0.2842 0.2842
0.4663 0.9058 0.2607
0.5337 0.0942 0.7393
0.7158 0.7158 0.7158
0.7393 0.5337 0.0942
0.9058 0.2607 0.4663
```

Summary:
N(E_F), states/eV/atom: 0.000



A plane-wave DFT calculation with PBE+U was carried out for a relaxed Cs2ScFeO4 crystal.

Cell and atoms, written as POSCAR:
```
Cs2ScFeO4
1.0
0.0000 6.4319 11.2225
2.7107 0.0000 11.2225
2.7107 6.4319 0.0000
Cs Sc Fe O
4 2 2 8
direct
0.0507 0.0507 0.6993
0.3007 0.3007 0.9493
0.6993 0.6993 0.0507
0.9493 0.9493 0.3007
0.1250 0.1250 0.1250
0.8750 0.8750 0.8750
0.3750 0.3750 0.3750
0.6250 0.6250 0.6250
0.0103 0.6553 0.5775
0.2570 0.5775 0.6553
0.3447 0.9897 0.7430
0.4225 0.7430 0.9897
0.5775 0.2570 0.0103
0.6553 0.0103 0.2570
0.7430 0.4225 0.3447
0.9897 0.3447 0.4225
```

Summary:
N(E_F), states/eV/atom: 0.000



A plane-wave DFT calculation with PBE+U was carried out for a relaxed CsFeSe2O8 crystal.

Cell and atoms, written as POSCAR:
```
CsFeSe2O8
1.0
2.5672 1.4822 9.2296
-2.5672 1.4822 9.2296
0.0000 -2.9643 9.2296
Cs Fe Se O
1 1 2 8
direct
0.0000 0.0000 0.0000
0.5000 0.5000 0.5000
0.2293 0.2293 0.2293
0.7707 0.7707 0.7707
0.1189 0.7512 0.4999
0.2488 0.5001 0.8811
0.2889 0.2889 0.2889
0.4999 0.1189 0.7512
0.5001 0.8811 0.2488
0.7111 0.7111 0.7111
0.7512 0.4999 0.1189
0.8811 0.2488 0.5001
```

Summary:
N(E_F), states/eV/atom: 0.000



A plane-wave DFT calculation with PBE+U was carried out for a relaxed Cs2FeSiO4 crystal.

Cell and atoms, written as POSCAR:
```
Cs2FeSiO4
1.0
0.0000 6.2079 10.9344
2.6031 0.0000 10.9344
2.6031 6.2079 0.0000
Cs Fe Si O
4 2 2 8
direct
0.0486 0.0486 0.7014
0.2986 0.2986 0.9514
0.7014 0.7014 0.0486
0.9514 0.9514 0.2986
0.1250 0.1250 0.1250
0.8750 0.8750 0.8750
0.3750 0.3750 0.3750
0.6250 0.6250 0.6250
0.0578 0.6111 0.5388
0.2923 0.5388 0.6111
0.3889 0.9422 0.7077
0.4612 0.7077 0.9422
0.5388 0.2923 0.0578
0.6111 0.0578 0.2923
0.7077 0.4612 0.3889
0.9422 0.3889 0.4612
```

Summary:
N(E_F), states/eV/atom: 0.000



A plane-wave DFT calculation with PBE+U was carried out for a relaxed Cs4Sm3FeO8 crystal.

Cell and atoms, written as POSCAR:
```
Cs4Sm3FeO8
1.0
3.5624 2.0568 6.8752
-3.5624 2.0568 6.8752
0.0000 -4.1135 6.8752
Cs Sm Fe O
4 3 1 8
direct
0.0000 0.0000 0.0000
0.0000 0.5000 0.5000
0.5000 0.0000 0.5000
0.5000 0.5000 0.0000
0.0000 0.0000 0.5000
0.0000 0.5000 0.0000
0.5000 0.0000 0.0000
0.5000 0.5000 0.5000
0.2227 0.2227 0.2227
0.2423 0.7106 0.7106
0.2894 0.2894 0.7577
0.2894 0.7577 0.2894
0.7106 0.2423 0.7106
0.7106 0.7106 0.2423
0.7577 0.2894 0.2894
0.7773 0.7773 0.7773
```

Summary:
N(E_F), states/eV/atom: 0.000



Number 1: E_tot -7.755 eV per atom. Number 2: E_tot -6.882 eV per atom. Number 3: E_tot -7.479 eV per atom. Number 4: E_tot -5.027 eV per atom. Number 5: E_tot -6.330 eV per atom. Number 6: E_tot -6.869 eV per atom. Number 7: E_tot -6.002 eV per atom. Number 8: E_tot -6.452 eV per atom. Number 9: E_tot -5.967 eV per atom. Number 10: E_tot -6.839 eV per atom. Number 11: E_tot -6.974 eV per atom. Number 12: E_tot -7.039 eV per atom. Number 13: E_tot -7.341 eV per atom. Number 14: E_tot -4.545 eV per atom. Number 15: E_tot -6.119 eV per atom. Number 16: E_tot -6.117 eV per atom. Number 17: E_tot -6.141 eV per atom. Number 18: E_tot -5.483 eV per atom. Number 19: E_tot -6.051 eV per atom. Number 20: E_tot -6.094 eV per atom.